Sc2Ni, optimized geometry, DFT GGA-PBE; energy of formation = -0.11 eV/atom; Fermi-level density of states = 2.35 states/eV/f.u.; mass density = 3.82 g/cm3; VASP energy = -6.2539 eV per atom; symmetry = P-3m1, No. 164
1.0
3.6079 0.0000 0.0000
-1.8040 3.1246 0.0000
0.0000 0.0000 5.7367
Sc Ni
2 1
Cartesian
0.0000 2.0830 1.4488 Sc
1.8040 1.0415 4.2879 Sc
0.0000 0.0000 0.0000 Ni

***

HgRhCl, optimized geometry, DFT GGA-PBE; Fermi-level density of states = 4.56 states/eV/f.u.; mass density = 8.53 g/cm3; VASP energy = -2.7966 eV per atom; raw formation energy = 1.1 eV per formula unit; symmetry = F-43m, No. 216
1.0
-2.2972 -0.3406 -3.8963
2.0715 -1.5485 -3.7262
-1.0655 -4.0866 -1.6548
Hg Cl Rh
1 1 1
Cartesian
-0.6456 -2.9879 -4.6386 Hg
0.0000 0.0000 0.0000 Cl
-0.9684 -4.4818 -6.9579 Rh

***

Ca2TaMn, optimized geometry, DFT GGA-PBE; energy of formation = 1.42 eV/atom; Fermi-level density of states = 13.25 states/eV/f.u.; mass density = 5.84 g/cm3; VASP energy = -4.8317 eV per atom; symmetry = Fm-3m, No. 225
1.0
0.2613 -4.4683 2.2930
0.6106 -0.2356 4.9863
-3.7850 -1.5497 2.9264
Ta Ca Mn
1 2 1
Cartesian
-1.4565 -3.1268 5.1029 Ta
-2.1848 -4.6902 7.6543 Ca
-0.7283 -1.5634 2.5514 Ca
0.0000 0.0000 0.0000 Mn

***

| no. | total magnetic moment (μB per formula unit) |
| --- | --- |
| 1 | 0.0 |
| 2 | 0.8 |
| 3 | 0.0 |